Entry 1:
DFT (GGA-PBE) results for an optimized crystal structure of TcS2NCl.

Output
As for the formation energy (no corrections): 912 kJ/mol of formula units. The energy above the most stable polymorph in this dataset comes out at 1.390 eV per atom. The symmetry is P4/mmm, No. 123.

a = 4.796 Å, b = 4.796 Å, c = 3.328 Å
α = 90.00°, β = 90.00°, γ = 90.00°
Positions (direct):
Tc: 0.000 0.000 0.000
S: 0.000 0.500 0.500
S: 0.500 0.000 0.500
N: 0.500 0.500 0.000
Cl: 0.500 0.500 0.500

Entry 2:
DFT (GGA-PBE) results for an optimized crystal structure of TcSNCl2.

Output
As for the formation energy (no corrections): 516 kJ/mol of formula units. The energy above the most stable polymorph in this dataset comes out at 0.000 eV per atom. The symmetry is P4/mmm, No. 123.

a = 4.924 Å, b = 4.924 Å, c = 4.480 Å
α = 90.00°, β = 90.00°, γ = 90.00°
Positions (direct):
Tc: 0.000 0.000 0.000
S: 0.000 0.000 0.500
N: 0.500 0.500 0.500
Cl: 0.000 0.500 0.000
Cl: 0.500 0.000 0.000

Entry 3:
DFT (GGA-PBE) results for an optimized crystal structure of TcSNCl2.

Output
As for the formation energy (no corrections): 660 kJ/mol of formula units. The energy above the most stable polymorph in this dataset comes out at 0.297 eV per atom. The symmetry is P4/mmm, No. 123.

a = 4.184 Å, b = 4.184 Å, c = 4.826 Å
α = 90.00°, β = 90.00°, γ = 90.00°
Positions (direct):
Tc: 0.000 0.000 0.000
S: 0.500 0.500 0.000
N: 0.500 0.500 0.500
Cl: 0.000 0.500 0.500
Cl: 0.500 0.000 0.500

Entry 4:
DFT (GGA-PBE) results for an optimized crystal structure of TcS2NCl.

Output
As for the formation energy (no corrections): 692 kJ/mol of formula units. The energy above the most stable polymorph in this dataset comes out at 0.932 eV per atom. The symmetry is P4/mmm, No. 123.

a = 4.144 Å, b = 4.144 Å, c = 4.012 Å
α = 90.00°, β = 90.00°, γ = 90.00°
Positions (direct):
Tc: 0.000 0.000 0.000
S: 0.000 0.500 0.500
S: 0.500 0.000 0.500
N: 0.500 0.500 0.500
Cl: 0.500 0.500 0.000